The following is a DFT calculation (PBE with a Hubbard U) of a relaxed MnHO3 crystal.

a = 5.0648 Å, b = 5.0648 Å, c = 7.3413 Å
α = 90.00°, β = 90.00°, γ = 120.00°
Last column: nearest neighbours and their distance in Å.
Element x y z (fractional)
Mn 0.0000 0.0000 0.0000  3 O 1.83
Mn 0.3333 0.6667 0.6667  3 O 1.83
Mn 0.6667 0.3333 0.3333  3 O 1.83
H 0.0000 0.0000 0.7184  3 O 1.39
H 0.3333 0.6667 0.3851  3 O 1.39
H 0.6667 0.3333 0.0518  3 O 1.39
O 0.0357 0.5178 0.4502  1 H 1.39
O 0.1488 0.2976 0.7835  1 H 1.39
O 0.1488 0.8512 0.7835  1 H 1.39
O 0.3690 0.1845 0.1168  1 H 1.39
O 0.4822 0.5178 0.4502  1 H 1.39
O 0.4822 0.9643 0.4502  1 H 1.39
O 0.7024 0.8512 0.7835  1 H 1.39
O 0.8155 0.1845 0.1168  1 H 1.39
O 0.8155 0.6310 0.1168  1 H 1.39

DFT total energy: -5.648 eV/atom
M_tot: 6.000 μB/cell